Entry 1:
# CoSb2Mo

CoSb2Mo after structural relaxation (PBE, the Alexandria database).

Summary:
Formation energy (no corrections) = 413 meV/atom
DFT total energy = -6.133 eV per atom

a b c (Å): 3.8349 4.9087 7.6032
angles (deg): 90.00 90.00 90.00
Space group Immm (No. 71)
Inequivalent atoms, fractional coordinates:
1 Co 0.0000 0.0000 0.0000 x2
2 Sb 0.0000 0.5000 0.2768 x4
3 Mo 0.0000 0.0000 0.5000 x2

---

Entry 2:
# TlZnHg2I

TlZnHg2I after structural relaxation (PBE, the Alexandria database).

Summary:
Formation energy (no corrections) = -119 meV/atom
DFT total energy = -1.278 eV per atom
Polymorph energy (0 for the lowest one) = 0 meV/atom

a b c (Å): 5.2577 5.2577 5.8985
angles (deg): 90.00 90.00 90.00
Space group P4/mmm (No. 123)
Inequivalent atoms, fractional coordinates:
1 Tl 0.0000 0.0000 0.0000 x1
2 Zn 0.0000 0.0000 0.5000 x1
3 Hg 0.0000 0.5000 0.5000 x2
4 I 0.5000 0.5000 0.0000 x1

---

Entry 3:
# Cu2AgSe

Cu2AgSe after structural relaxation (PBE, the Alexandria database).

Summary:
Formation energy (no corrections) = 236 meV/atom
DFT total energy = -3.396 eV per atom

a b c (Å): 4.0818 4.0818 16.8947
angles (deg): 90.00 90.00 90.00
Space group I-42d (No. 122)
Inequivalent atoms, fractional coordinates:
1 Cu 0.1993 0.2500 0.1250 x8
2 Ag 0.0000 0.0000 0.5000 x4
3 Se 0.0000 0.0000 0.0000 x4

---

Entry 4:
# Cd5Au

Cd5Au after structural relaxation (PBE, the Alexandria database).

Summary:
DFT total energy = -1.378 eV per atom
DFT formation energy = -0.0687 eV/atom
Polymorph energy (0 for the lowest one) = 0 meV/atom

a b c (Å): 5.2434 5.2434 5.3147
angles (deg): 90.00 90.00 120.00
Space group P-62m (No. 189)
Inequivalent atoms, fractional coordinates:
1 Cd 0.0000 0.6713 0.0000 x3
2 Cd 0.3333 0.6667 0.5000 x2
3 Au 0.0000 0.0000 0.5000 x1

---

Entry 5:
# KNaPmSn

KNaPmSn after structural relaxation (PBE, the Alexandria database).

Summary:
DFT total energy = -2.830 eV per atom
DFT formation energy = -0.0376 eV/atom

a b c (Å): 7.9182 7.9182 7.9182
angles (deg): 90.00 90.00 90.00
Space group F-43m (No. 216)
Inequivalent atoms, fractional coordinates:
1 K 0.0000 0.0000 0.0000 x4
2 Na 0.2500 0.2500 0.2500 x4
3 Pm 0.2500 0.2500 0.7500 x4
4 Sn 0.0000 0.0000 0.5000 x4

---

Entry 6:
# SrLi4As3

SrLi4As3 after structural relaxation (PBE, the Alexandria database).

Summary:
DFT total energy = -3.675 eV per atom
DFT formation energy = -0.7640 eV/atom

a b c (Å): 4.3776 4.3776 8.3247
angles (deg): 90.00 90.00 90.00
Space group P4/mmm (No. 123)
Inequivalent atoms, fractional coordinates:
1 Sr 0.0000 0.0000 0.0000 x1
2 Li 0.0000 0.5000 0.3366 x4
3 As 0.0000 0.0000 0.5000 x1
4 As 0.5000 0.5000 0.1465 x2

---

Entry 7:
# Rb8Na2Hg

Rb8Na2Hg after structural relaxation (PBE, the Alexandria database).

Summary:
DFT total energy = -0.992 eV per atom
DFT formation energy = -0.0206 eV/atom

a b c (Å): 24.1301 7.0576 9.4325
angles (deg): 90.00 108.12 90.00
Space group C2/m (No. 12)
Inequivalent atoms, fractional coordinates:
1 Rb 0.0170 0.0000 0.2859 x4
2 Rb 0.0930 0.5000 0.9267 x4
3 Rb 0.1503 0.5000 0.4557 x4
4 Rb 0.2034 0.0000 0.7860 x4
5 Na 0.1806 0.0000 0.2098 x4
6 Hg 0.0000 0.5000 0.5000 x2

---

Entry 8:
# Ti3CdGe

Ti3CdGe after structural relaxation (PBE, the Alexandria database).

Summary:
DFT total energy = -5.553 eV per atom
DFT formation energy = 0.2909 eV/atom
Polymorph energy (0 for the lowest one) = 0 meV/atom

a b c (Å): 4.7318 4.7318 4.7318
angles (deg): 90.00 90.00 90.00
Space group Pm-3m (No. 221)
Inequivalent atoms, fractional coordinates:
1 Ti 0.0000 0.0000 0.5000 x3
2 Cd 0.5000 0.5000 0.5000 x1
3 Ge 0.0000 0.0000 0.0000 x1

---

Entry 9:
# YCdSi2Bi

YCdSi2Bi after structural relaxation (PBE, the Alexandria database).

Summary:
Formation energy (no corrections) = 933 meV/atom
DFT total energy = -3.489 eV per atom

a b c (Å): 5.3791 5.3791 5.8524
angles (deg): 90.00 90.00 90.00
Space group P4/mmm (No. 123)
Inequivalent atoms, fractional coordinates:
1 Y 0.0000 0.0000 0.0000 x1
2 Cd 0.5000 0.5000 0.0000 x1
3 Si 0.0000 0.5000 0.5000 x2
4 Bi 0.0000 0.0000 0.5000 x1

---

Entry 10:
# PuPt4Au2

PuPt4Au2 after structural relaxation (PBE, the Alexandria database).

Summary:
DFT total energy = -6.730 eV per atom
DFT formation energy = -0.2940 eV/atom

a b c (Å): 8.7394 6.8747 5.4397
angles (deg): 90.00 128.12 90.00
Space group C2/m (No. 12)
Inequivalent atoms, fractional coordinates:
1 Pu 0.0000 0.0000 0.0000 x2
2 Pt 0.1986 0.1985 0.6985 x8
3 Au 0.9998 0.5000 0.2497 x4

---

Entry 11:
# Al2TcW

Al2TcW after structural relaxation (PBE, the Alexandria database).

Summary:
DFT total energy = -7.704 eV per atom
DFT formation energy = -0.0031 eV/atom
Polymorph energy (0 for the lowest one) = 308 meV/atom

a b c (Å): 2.8014 4.0072 5.3691
angles (deg): 90.00 90.00 90.00
Space group Pmmm (No. 47)
Inequivalent atoms, fractional coordinates:
1 Al 0.0000 0.0000 0.2449 x2
2 Tc 0.5000 0.5000 0.0000 x1
3 W 0.5000 0.5000 0.5000 x1

---

Entry 12:
# TaTiAl2Ir

TaTiAl2Ir after structural relaxation (PBE, the Alexandria database).

Summary:
DFT total energy = -5.884 eV per atom
DFT formation energy = 1.3352 eV/atom

a b c (Å): 4.8488 4.8488 4.5276
angles (deg): 90.00 90.00 90.00
Space group P4/mmm (No. 123)
Inequivalent atoms, fractional coordinates:
1 Ta 0.0000 0.0000 0.0000 x1
2 Ti 0.0000 0.0000 0.5000 x1
3 Al 0.0000 0.5000 0.0000 x2
4 Ir 0.5000 0.5000 0.5000 x1

---

Repeat the tenth record exactly.
# PuPt4Au2

PuPt4Au2 after structural relaxation (PBE, the Alexandria database).

Summary:
DFT total energy = -6.730 eV per atom
DFT formation energy = -0.2940 eV/atom

a b c (Å): 8.7394 6.8747 5.4397
angles (deg): 90.00 128.12 90.00
Space group C2/m (No. 12)
Inequivalent atoms, fractional coordinates:
1 Pu 0.0000 0.0000 0.0000 x2
2 Pt 0.1986 0.1985 0.6985 x8
3 Au 0.9998 0.5000 0.2497 x4

---

Question: Which formula does entry 9 have?
Answer: YCdSi2Bi

---

Question: Look up the DFT total energy of the ninth one.
Answer: -3.489 eV per atom